Record 1
This record from Alexandria describes AlRe2Ag at its PBEsol-relaxed geometry. The functional is SCAN.

E_tot ... -45.034 eV per atom
Mass density ... 14.072 g cm⁻³
Calculated volume ... 14.964 Å³/atom
ΔH_f (0 K) ... 0.29 eV per atom

Cell lengths 2.6800, 4.4442, 5.1392 Å; angles 90.00, 102.06, 90.00 degrees
Last column: nearest neighbours and their distance in Å.
Space group P2/m (No. 10)
Asymmetric unit:
Al (0.0000, 0.0000, 0.0000) [1 per cell]  2 Ag 2.64, 2 Al 2.68, 4 Re 2.69
Re (0.2539, 0.5000, 0.7619) [2 per cell]  4 Re 2.53-2.75, 2 Al 2.69, 2 Ag 2.75
Ag (0.5000, 0.0000, 0.5000) [1 per cell]  2 Al 2.64, 2 Ag 2.68, 4 Re 2.75

***

Record 2
This record from Alexandria describes AlRe2Ag at its PBEsol-relaxed geometry. The functional is SCAN.

E_tot ... -45.325 eV per atom
Mass density ... 13.990 g cm⁻³
Calculated volume ... 15.052 Å³/atom
ΔH_f (0 K) ... 0.00 eV per atom

Cell lengths 2.7917, 2.7917, 26.7602 Å; angles 90.00, 90.00, 120.00 degrees
Last column: nearest neighbours and their distance in Å.
Space group R3m (No. 160, hexagonal axes)
Asymmetric unit:
Al (0.0000, 0.0000, 0.0000) [3 per cell]  3 Re 2.69, 3 Ag 2.77, 6 Al 2.79
Re (0.0000, 0.0000, 0.2529) [3 per cell]  9 Re 2.62-2.79, 3 Al 2.69
Re (0.0000, 0.0000, 0.5090) [3 per cell]  9 Re 2.62-2.79, 3 Ag 2.93
Ag (0.0000, 0.0000, 0.7508) [3 per cell]  3 Al 2.77, 6 Ag 2.79, 3 Re 2.93

***

Record 3
This record from Alexandria describes AlReAg at its PBEsol-relaxed geometry. The functional is SCAN.

E_tot ... -36.605 eV per atom
Mass density ... 11.763 g cm⁻³
Calculated volume ... 15.108 Å³/atom
ΔH_f (0 K) ... 0.13 eV per atom

Cell lengths 2.7897, 2.7897, 6.7249 Å; angles 90.00, 90.00, 120.00 degrees
Last column: nearest neighbours and their distance in Å.
Space group P3m1 (No. 156)
Asymmetric unit:
Al (0.0000, 0.0000, 0.0000) [1 per cell]  3 Re 2.65, 3 Ag 2.74, 6 Al 2.79
Re (0.6667, 0.3333, 0.6875) [1 per cell]  3 Al 2.65, 6 Re 2.79, 3 Ag 2.90
Ag (0.3333, 0.6667, 0.3297) [1 per cell]  3 Al 2.74, 6 Ag 2.79, 3 Re 2.90

***

Record 4
This record from Alexandria describes Al2ReAg at its PBEsol-relaxed geometry. The functional is SCAN.

E_tot ... -29.586 eV per atom
Mass density ... 9.530 g cm⁻³
Calculated volume ... 15.161 Å³/atom
Energy above the lowest structure with this stoichiometry ... 0.00 eV per formula unit
ΔH_f (0 K) ... -0.09 eV per atom

Cell lengths 2.8372, 2.8372, 26.0972 Å; angles 90.00, 90.00, 120.00 degrees
Last column: nearest neighbours and their distance in Å.
Space group R-3m (No. 166, hexagonal axes)
Asymmetric unit:
Al (0.0000, 0.0000, 0.2463) [6 per cell]  3 Re 2.65, 3 Ag 2.80, 6 Al 2.84
Re (0.0000, 0.0000, 0.5000) [3 per cell]  6 Al 2.65, 6 Re 2.84
Ag (0.0000, 0.0000, 0.0000) [3 per cell]  6 Al 2.80, 6 Ag 2.84

***

Record 5
This record from Alexandria describes AlRe2Ag at its PBEsol-relaxed geometry. The functional is SCAN.

E_tot ... -45.130 eV per atom
Mass density ... 14.122 g cm⁻³
Calculated volume ... 14.911 Å³/atom
ΔH_f (0 K) ... 0.20 eV per atom

Cell lengths 8.9480, 2.7604, 4.8813 Å; angles 90.00, 98.35, 90.00 degrees
Last column: nearest neighbours and their distance in Å.
Space group Cm (No. 8)
Asymmetric unit:
Al (0.0000, 0.0000, 0.0000) [2 per cell]  3 Ag 2.57-2.72, 7 Re 2.75-2.86, 2 Al 2.76
Re (0.2439, 0.5000, 0.2893) [2 per cell]  5 Re 2.58-2.76, 3 Al 2.79-2.86, 4 Ag 2.80-2.81
Re (0.4917, 0.0000, 0.4852) [2 per cell]  5 Re 2.58-2.76, 4 Al 2.75-2.86, 1 Ag 2.81
Ag (0.2471, 0.0000, 0.7882) [2 per cell]  3 Al 2.57-2.72, 2 Ag 2.76, 5 Re 2.80-2.81

***

Record 6
This record from Alexandria describes Al2ReAg at its PBEsol-relaxed geometry. The functional is SCAN.

E_tot ... -29.490 eV per atom
Mass density ... 9.566 g cm⁻³
Calculated volume ... 15.104 Å³/atom
Energy above the lowest structure with this stoichiometry ... 0.38 eV per formula unit
ΔH_f (0 K) ... 0.00 eV per atom

Cell lengths 8.7586, 2.7283, 5.1311 Å; angles 90.00, 99.79, 90.00 degrees
Last column: nearest neighbours and their distance in Å.
Space group C2/m (No. 12)
Asymmetric unit:
Al (0.2463, 0.0000, 0.2362) [4 per cell]  3 Re 2.66-2.71, 4 Al 2.73-2.79, 3 Ag 2.73-2.76
Re (0.0000, 0.5000, 0.0000) [2 per cell]  6 Al 2.66-2.71, 2 Re 2.73, 4 Ag 2.91
Ag (0.0000, 0.0000, 0.5000) [2 per cell]  2 Ag 2.73, 6 Al 2.73-2.76, 4 Re 2.91

***

Record 7
This record from Alexandria describes AlRe2Ag at its PBEsol-relaxed geometry. The functional is SCAN.

E_tot ... -44.803 eV per atom
Mass density ... 14.306 g cm⁻³
Calculated volume ... 14.720 Å³/atom
ΔH_f (0 K) ... 0.53 eV per atom

Cell lengths 4.6234, 4.6234, 2.7545 Å; angles 90.00, 90.00, 90.00 degrees
Last column: nearest neighbours and their distance in Å.
Space group P4/mmm (No. 123)
Asymmetric unit:
Al (0.0000, 0.0000, 0.0000) [1 per cell]  8 Re 2.69, 2 Al 2.75
Re (0.0000, 0.5000, 0.5000) [2 per cell]  4 Al 2.69, 4 Ag 2.69, 2 Re 2.75
Ag (0.5000, 0.5000, 0.0000) [1 per cell]  8 Re 2.69, 2 Ag 2.75

***

Record 8
This record from Alexandria describes AlRe2Ag at its PBEsol-relaxed geometry. The functional is SCAN.

E_tot ... -45.121 eV per atom
Mass density ... 14.296 g cm⁻³
Calculated volume ... 14.731 Å³/atom
ΔH_f (0 K) ... 0.21 eV per atom

Cell lengths 4.0673, 4.0673, 7.1236 Å; angles 90.00, 90.00, 90.00 degrees
Last column: nearest neighbours and their distance in Å.
Space group I-4m2 (No. 119)
Asymmetric unit:
Al (0.0000, 0.0000, 0.0000) [2 per cell]  8 Re 2.70-2.88, 4 Ag 2.70
Re (0.0000, 0.0000, 0.5000) [2 per cell]  4 Re 2.70, 4 Ag 2.70, 4 Al 2.88
Re (0.0000, 0.5000, 0.2500) [2 per cell]  4 Al 2.70, 4 Re 2.70, 4 Ag 2.88
Ag (0.0000, 0.5000, 0.7500) [2 per cell]  8 Re 2.70-2.88, 4 Al 2.70

***

Record 9
This record from Alexandria describes AlRe2Ag at its PBEsol-relaxed geometry. The functional is SCAN.

E_tot ... -45.079 eV per atom
Mass density ... 14.079 g cm⁻³
Calculated volume ... 14.958 Å³/atom
ΔH_f (0 K) ... 0.25 eV per atom

Cell lengths 9.6697, 2.8474, 4.5442 Å; angles 90.00, 106.98, 90.00 degrees
Last column: nearest neighbours and their distance in Å.
Space group C2/m (No. 12)
Asymmetric unit:
Al (0.0000, 0.0000, 0.0000) [2 per cell]  4 Re 2.64, 4 Ag 2.68, 2 Al 2.85
Re (0.2367, 0.5000, 0.2387) [4 per cell]  2 Al 2.64, 6 Re 2.67-2.85, 3 Ag 2.86-2.87
Ag (0.0000, 0.5000, 0.5000) [2 per cell]  4 Al 2.68, 2 Ag 2.85, 6 Re 2.86-2.87

***

Record 10
This record from Alexandria describes AlRe2AgW at its PBEsol-relaxed geometry. The functional is SCAN.

E_tot ... -47.646 eV per atom
Mass density ... 12.280 g cm⁻³
Calculated volume ... 18.690 Å³/atom
ΔH_f (0 K) ... 2.55 eV per atom

Cell lengths 4.7321, 4.7321, 4.1733 Å; angles 90.00, 90.00, 90.00 degrees
Last column: nearest neighbours and their distance in Å.
Space group P4/mmm (No. 123)
Asymmetric unit:
Al (0.0000, 0.0000, 0.0000) [1 per cell]  2 Ag 2.09
Re (0.0000, 0.5000, 0.5000) [2 per cell]  2 Ag 2.37
Ag (0.0000, 0.0000, 0.5000) [1 per cell]  2 Al 2.09
W (0.5000, 0.5000, 0.0000) [1 per cell]  8 Re 3.15, 4 Al 3.35

***

Record 11
This record from Alexandria describes AlAgRh2 at its PBEsol-relaxed geometry. The functional is SCAN.

E_tot ... -26.934 eV per atom
Mass density ... 9.895 g cm⁻³
Calculated volume ... 14.292 Å³/atom
ΔH_f (0 K) ... -0.27 eV per atom

Cell lengths 2.8010, 2.8010, 7.2863 Å; angles 90.00, 90.00, 90.00 degrees
Last column: nearest neighbours and their distance in Å.
Space group P4mm (No. 99)
Asymmetric unit:
Al (0.0000, 0.0000, 0.0000) [1 per cell]  4 Rh 2.52, 4 Ag 2.76, 4 Al 2.80
Ag (0.5000, 0.5000, 0.7360) [1 per cell]  4 Al 2.76, 4 Ag 2.80, 4 Rh 2.80
Rh (0.0000, 0.0000, 0.4637) [1 per cell]  8 Rh 2.69-2.80, 4 Ag 2.80
Rh (0.5000, 0.5000, 0.2142) [1 per cell]  4 Al 2.52, 8 Rh 2.69-2.80

***

Record 12
This record from Alexandria describes AlAgRh2 at its PBEsol-relaxed geometry. The functional is SCAN.

E_tot ... -27.188 eV per atom
Mass density ... 9.999 g cm⁻³
Calculated volume ... 14.143 Å³/atom
ΔH_f (0 K) ... -0.52 eV per atom

Cell lengths 2.9244, 2.9244, 6.6150 Å; angles 90.00, 90.00, 90.00 degrees
Last column: nearest neighbours and their distance in Å.
Space group P4/mmm (No. 123)
Asymmetric unit:
Al (0.0000, 0.0000, 0.0000) [1 per cell]  8 Rh 2.52
Ag (0.0000, 0.0000, 0.5000) [1 per cell]  8 Rh 2.78, 4 Ag 2.92
Rh (0.5000, 0.5000, 0.2183) [2 per cell]  4 Al 2.52, 4 Ag 2.78